(1)
# NiHg2, optimized geometry, DFT GGA-PBE
data_NiHg2
_cell_length_a 7.443
_cell_length_b 3.214
_cell_length_c 9.692
_cell_angle_alpha 90.00
_cell_angle_beta 90.00
_cell_angle_gamma 90.00
_space_group_name_H-M_alt 'P n m a'
_space_group_IT_number 62
_space_group_name_Hall '-P 2ac 2n'
loop_
_atom_site_label
_atom_site_type_symbol
_atom_site_fract_x
_atom_site_fract_y
_atom_site_fract_z
Ni1 Ni 0.167 0.250 0.168
Hg1 Hg 0.043 0.250 0.685
Hg2 Hg 0.194 0.750 0.943
# Calculated total energy: -23.12 eV/cell
# Volume: 231.8 Å³ per cell

(2)
# Li2ThNpTe4, optimized geometry, DFT GGA-PBE
data_Li2ThNpTe4
_cell_length_a 7.568
_cell_length_b 4.360
_cell_length_c 7.589
_cell_angle_alpha 90.00
_cell_angle_beta 109.35
_cell_angle_gamma 90.00
_space_group_name_H-M_alt 'P 1 2/m 1'
_space_group_IT_number 10
_space_group_name_Hall '-P 2y'
loop_
_atom_site_label
_atom_site_type_symbol
_atom_site_fract_x
_atom_site_fract_y
_atom_site_fract_z
Li1 Li 0.000 0.000 0.000
Li2 Li 0.500 0.500 0.000
Th1 Th 0.000 0.500 0.500
Np1 Np 0.500 0.000 0.500
Te1 Te 0.247 0.500 0.238
Te2 Te 0.256 0.000 0.767
# Calculated total energy: -44.32 eV/cell
# Volume: 236.3 Å³ per cell

(3)
# NdHoInPt, optimized geometry, DFT GGA-PBE
data_NdHoInPt
_cell_length_a 7.364
_cell_length_b 7.364
_cell_length_c 7.364
_cell_angle_alpha 90.00
_cell_angle_beta 90.00
_cell_angle_gamma 90.00
_space_group_name_H-M_alt 'F -4 3 m'
_space_group_IT_number 216
_space_group_name_Hall 'F -4 2 3'
loop_
_atom_site_label
_atom_site_type_symbol
_atom_site_fract_x
_atom_site_fract_y
_atom_site_fract_z
Nd1 Nd 0.000 0.000 0.000
Ho1 Ho 0.000 0.000 0.500
In1 In 0.250 0.250 0.250
Pt1 Pt 0.250 0.250 0.750
# Calculated total energy: -83.58 eV/cell
# Volume: 399.3 Å³ per cell